[1]
# MoIr2W

Crystalline MoIr2W at its relaxed geometry (PBEsol, Alexandria).

Lattice parameters (Å, degrees): 5.480 7.770 2.744 90.00 90.00 90.00
Fractional positions:
Mo: 0.000 0.000 0.000
Mo: 0.500 0.500 0.000
Ir: 0.250 0.250 0.500
Ir: 0.250 0.750 0.500
Ir: 0.750 0.250 0.500
Ir: 0.750 0.750 0.500
W: 0.000 0.500 0.000
W: 0.500 0.000 0.000

## Properties
* distance to the lowest polymorph of the same formula: 26 meV per atom

[2]
# MoIrW2

Crystalline MoIrW2 at its relaxed geometry (PBEsol, Alexandria).

Lattice parameters (Å, degrees): 2.701 4.377 5.224 90.00 99.71 90.00
Fractional positions:
Mo: 0.000 0.000 0.000
Ir: 0.500 0.000 0.500
W: 0.221 0.500 0.752
W: 0.779 0.500 0.248

## Properties
* distance to the lowest polymorph of the same formula: 21 meV per atom

[3]
# MoIrW2

Crystalline MoIrW2 at its relaxed geometry (PBEsol, Alexandria).

Lattice parameters (Å, degrees): 2.754 2.754 28.027 90.00 90.00 120.00
Fractional positions:
Mo: 0.000 0.000 0.000
Mo: 0.333 0.667 0.667
Mo: 0.667 0.333 0.333
Ir: 0.000 0.000 0.500
Ir: 0.333 0.667 0.167
Ir: 0.667 0.333 0.833
W: 0.000 0.000 0.247
W: 0.000 0.000 0.753
W: 0.333 0.667 0.420
W: 0.333 0.667 0.913
W: 0.667 0.333 0.087
W: 0.667 0.333 0.580

## Properties
* distance to the lowest polymorph of the same formula: 129 meV per atom

[4]
# MoIrW2

Crystalline MoIrW2 at its relaxed geometry (PBEsol, Alexandria).

Lattice parameters (Å, degrees): 5.609 7.849 2.758 90.00 90.00 90.00
Fractional positions:
Mo: 0.000 0.000 0.000
Mo: 0.500 0.500 0.000
Ir: 0.000 0.500 0.000
Ir: 0.500 0.000 0.000
W: 0.250 0.250 0.500
W: 0.250 0.750 0.500
W: 0.750 0.250 0.500
W: 0.750 0.750 0.500

## Properties
* distance to the lowest polymorph of the same formula: 8 meV per atom

[5]
# MoIr4W

Crystalline MoIr4W at its relaxed geometry (PBEsol, Alexandria).

Lattice parameters (Å, degrees): 5.054 5.054 5.054 60.00 60.00 60.00
Fractional positions:
Mo: 0.000 0.000 0.000
Ir: 0.125 0.625 0.625
Ir: 0.625 0.125 0.625
Ir: 0.625 0.625 0.125
Ir: 0.625 0.625 0.625
W: 0.250 0.250 0.250

[6]
# MoIr2W

Crystalline MoIr2W at its relaxed geometry (PBEsol, Alexandria).

Lattice parameters (Å, degrees): 3.881 3.881 7.763 90.00 90.00 90.00
Fractional positions:
Mo: 0.000 0.000 0.000
Mo: 0.500 0.500 0.500
Ir: 0.000 0.500 0.250
Ir: 0.000 0.500 0.750
Ir: 0.500 0.000 0.250
Ir: 0.500 0.000 0.750
W: 0.000 0.000 0.500
W: 0.500 0.500 0.000

## Properties
* distance to the lowest polymorph of the same formula: 25 meV per atom

[7]
# MoIr2W

Crystalline MoIr2W at its relaxed geometry (PBEsol, Alexandria).

Lattice parameters (Å, degrees): 2.742 3.884 5.487 90.00 90.00 90.00
Fractional positions:
Mo: 0.000 0.000 0.000
Ir: 0.500 0.500 0.249
Ir: 0.500 0.500 0.751
W: 0.000 0.000 0.500

## Properties
* distance to the lowest polymorph of the same formula: 28 meV per atom

[8]
# MoIr3W

Crystalline MoIr3W at its relaxed geometry (PBEsol, Alexandria).

Lattice parameters (Å, degrees): 4.584 4.584 4.584 90.00 90.00 90.00
Fractional positions:
Mo: 0.000 0.000 0.000
Ir: 0.000 0.000 0.500
Ir: 0.000 0.500 0.000
Ir: 0.500 0.000 0.000
W: 0.500 0.500 0.500

Result set for energy: -46.46, -48.88, -48.45, -48.93, -63.17, -46.46, -46.45, -43.94 eV/f.u., one per record in the order listed.